# 1
A plane-wave DFT calculation with PBE was carried out for a relaxed structure of CaPrH2. Values from VASP.

```
&SYSTEM
  ibrav = 0, nat = 4, ntyp = 3
/
ATOMIC_SPECIES
Ca 40.08 Ca.upf
Pr 140.91 Pr.upf
H 1.01 H.upf
ATOMIC_POSITIONS crystal
Ca 0.000 0.000 0.000
Pr 0.500 0.500 0.500
H 0.252 0.252 0.252
H 0.748 0.748 0.748
CELL_PARAMETERS angstrom
1.810 1.045 5.946
-1.810 1.045 5.946
0.000 -2.090 5.946
```

E above lowest polymorph ... 0.0000 eV per atom
Symmetry ... R-3m



# 2
A plane-wave DFT calculation with PBE was carried out for a relaxed structure of La2TiAlGa6. Values from VASP.

```
&SYSTEM
  ibrav = 0, nat = 20, ntyp = 4
/
ATOMIC_SPECIES
La 138.91 La.upf
Ti 47.87 Ti.upf
Al 26.98 Al.upf
Ga 69.72 Ga.upf
ATOMIC_POSITIONS crystal
La 0.113 0.113 0.113
La 0.289 0.289 0.289
La 0.711 0.711 0.711
La 0.887 0.887 0.887
Ti 0.000 0.000 0.000
Ti 0.500 0.500 0.500
Al 0.427 0.427 0.427
Al 0.573 0.573 0.573
Ga 0.061 0.666 0.666
Ga 0.229 0.229 0.650
Ga 0.229 0.650 0.229
Ga 0.334 0.334 0.939
Ga 0.334 0.939 0.334
Ga 0.350 0.771 0.771
Ga 0.650 0.229 0.229
Ga 0.666 0.061 0.666
Ga 0.666 0.666 0.061
Ga 0.771 0.350 0.771
Ga 0.771 0.771 0.350
Ga 0.939 0.334 0.334
CELL_PARAMETERS angstrom
3.240 1.871 12.002
-3.240 1.871 12.002
0.000 -3.741 12.002
```

E_form ... -0.438 eV per atom
Symmetry ... R-3m



# 3
A plane-wave DFT calculation with PBE was carried out for a relaxed structure of CaDy3B. Values from VASP.

```
&SYSTEM
  ibrav = 0, nat = 5, ntyp = 3
/
ATOMIC_SPECIES
Ca 40.08 Ca.upf
Dy 162.50 Dy.upf
B 10.81 B.upf
ATOMIC_POSITIONS crystal
Ca 0.000 0.000 0.000
Dy 0.000 0.500 0.500
Dy 0.500 0.000 0.500
Dy 0.500 0.500 0.000
B 0.500 0.500 0.500
CELL_PARAMETERS angstrom
5.224 0.000 0.000
0.000 5.224 0.000
0.000 0.000 5.224
```

E_form ... 0.058 eV per atom
Symmetry ... Pm-3m



# 4
A plane-wave DFT calculation with PBE was carried out for a relaxed structure of SiBC2. Values from VASP.

```
&SYSTEM
  ibrav = 0, nat = 4, ntyp = 3
/
ATOMIC_SPECIES
Si 28.09 Si.upf
B 10.81 B.upf
C 12.01 C.upf
ATOMIC_POSITIONS crystal
Si 0.000 0.000 0.000
B 0.074 0.074 0.404
C 0.589 0.589 0.548
C 0.635 0.635 0.840
CELL_PARAMETERS angstrom
2.646 -1.432 0.000
2.646 1.432 0.000
-1.111 0.000 5.032
```

E above lowest polymorph ... 0.1117 eV per atom
Symmetry ... Cm
Formation energy from raw total energies ... 0.3544 eV/atom